(1)
The following is a GGA-PBE calculation of a relaxed Ta2TeIr crystal, from Alexandria.

abc: 4.1867 5.8794 5.8794
angles: 30.32 90.00 90.00
With the nearest neighbours (Å) after each atom.
Element x y z (fractional)
Ta: 0.0000 0.0000 0.0000  1 Ir 2.77, 4 Te 2.87, 6 Ta 3.08
Ta: 0.5000 0.3545 0.3545  4 Ir 2.83, 1 Te 2.86, 6 Ta 3.08
Te: 0.5000 0.6067 0.6067  2 Ir 2.69, 5 Ta 2.86-2.87
Ir: 0.0000 0.7558 0.7558  2 Te 2.69, 5 Ta 2.77-2.83

ΔE_f (raw) = 72 meV per atom
electronic total energy = -35.42 eV per formula unit

***

(2)
The following is a GGA-PBE calculation of a relaxed TaTeIr2 crystal, from Alexandria.

abc: 5.1600 5.1600 5.1600
angles: 137.61 130.71 67.00
With the nearest neighbours (Å) after each atom.
Element x y z (fractional)
Ta: 0.0000 0.0000 0.0000  4 Te 2.84-3.05, 8 Ir 2.85-3.07
Te: 0.2490 0.7490 0.5000  6 Ir 2.61-2.86, 2 Ta 2.84
Ir: 0.4615 0.4615 0.0000  2 Te 2.61, 4 Ta 2.87, 2 Ir 2.88
Ir: 0.7166 0.2166 0.5000  4 Ta 2.85-3.07, 4 Te 2.86, 4 Ir 2.88-3.01

ΔE_f (raw) = 130 meV per atom
electronic total energy = -32.20 eV per formula unit

***

(3)
The following is a GGA-PBE calculation of a relaxed TaTe2Ir crystal, from Alexandria.

abc: 9.2400 9.2400 9.2400
angles: 21.14 21.14 21.14
With the nearest neighbours (Å) after each atom.
Element x y z (fractional)
Ta: 0.0000 0.0000 0.0000  6 Te 2.78
Te: 0.4063 0.4063 0.4063  1 Ir 2.54, 3 Ta 2.78
Te: 0.5937 0.5937 0.5937  1 Ir 2.54, 3 Ta 2.78
Ir: 0.5000 0.5000 0.5000  2 Te 2.54

relative energy among the computed polymorphs = 554 meV per atom
ΔE_f (raw) = 389 meV per atom
electronic total energy = -25.44 eV per formula unit

***

(4)
The following is a GGA-PBE calculation of a relaxed TaTeIr2 crystal, from Alexandria.

abc: 4.5987 4.5987 4.5987
angles: 60.00 60.00 60.00
With the nearest neighbours (Å) after each atom.
Element x y z (fractional)
Ta: 0.0000 0.0000 0.0000  4 Ir 2.82, 4 Te 2.82
Te: 0.2500 0.2500 0.2500  4 Ta 2.82, 4 Ir 2.82
Ir: 0.5000 0.5000 0.5000  4 Ir 2.82, 4 Te 2.82
Ir: 0.7500 0.7500 0.7500  4 Ta 2.82, 4 Ir 2.82

ΔE_f (raw) = 252 meV per atom
electronic total energy = -31.71 eV per formula unit

***

(5)
The following is a GGA-PBE calculation of a relaxed Ta2TeIr crystal, from Alexandria.

abc: 4.6937 4.6937 4.6937
angles: 60.00 60.00 60.00
With the nearest neighbours (Å) after each atom.
Element x y z (fractional)
Ta: 0.0000 0.0000 0.0000  4 Ir 2.87, 4 Ta 2.87
Ta: 0.2500 0.2500 0.2500  4 Te 2.87, 4 Ta 2.87
Te: 0.5000 0.5000 0.5000  4 Ta 2.87, 4 Ir 2.87
Ir: 0.7500 0.7500 0.7500  4 Te 2.87, 4 Ta 2.87

ΔE_f (raw) = 354 meV per atom
electronic total energy = -34.29 eV per formula unit

***

(6)
The following is a GGA-PBE calculation of a relaxed TaTeIr2 crystal, from Alexandria.

abc: 5.1258 5.1258 4.6874
angles: 94.39 94.39 35.29
With the nearest neighbours (Å) after each atom.
Element x y z (fractional)
Ta: 0.0000 0.0000 0.0000  5 Ir 2.67-2.95, 1 Te 2.78
Te: 0.2308 0.2308 0.6906  5 Ir 2.58-2.86, 1 Ta 2.78
Ir: 0.4581 0.4581 0.4469  1 Te 2.58, 2 Ta 2.67
Ir: 0.7218 0.7218 0.2018  4 Te 2.76-2.86, 3 Ta 2.77-2.95, 3 Ir 2.90-2.94

ΔE_f (raw) = 59 meV per atom
electronic total energy = -32.48 eV per formula unit

***

(7)
The following is a GGA-PBE calculation of a relaxed TaTeIr2 crystal, from Alexandria.

abc: 4.9224 4.9224 3.0131
angles: 90.00 90.00 109.20
With the nearest neighbours (Å) after each atom.
Element x y z (fractional)
Ta: 0.0000 0.0000 0.0000  2 Te 2.85, 8 Ir 2.89, 2 Ta 3.01
Te: 0.5000 0.5000 0.0000  2 Ta 2.85, 8 Ir 2.89, 2 Te 3.01
Ir: 0.0000 0.5000 0.5000  4 Ir 2.85-3.01, 4 Ta 2.89, 4 Te 2.89
Ir: 0.5000 0.0000 0.5000  4 Ir 2.85-3.01, 4 Ta 2.89, 4 Te 2.89

ΔE_f (raw) = 114 meV per atom
electronic total energy = -32.26 eV per formula unit

***

(8)
The following is a GGA-PBE calculation of a relaxed Ta2TeIr crystal, from Alexandria.

abc: 8.9211 8.9211 8.9211
angles: 20.99 20.99 20.99
With the nearest neighbours (Å) after each atom.
Element x y z (fractional)
Ta: 0.0000 0.0000 0.0000  3 Te 2.79, 3 Ta 2.91
Ta: 0.2481 0.2481 0.2481  3 Ir 2.61, 3 Ta 2.91
Te: 0.7456 0.7456 0.7456  3 Ta 2.79
Ir: 0.5121 0.5121 0.5121  3 Ta 2.61

ΔE_f (raw) = 103 meV per atom
electronic total energy = -35.30 eV per formula unit

***

(9)
The following is a GGA-PBE calculation of a relaxed Ta2TeIr crystal, from Alexandria.

abc: 4.0341 4.0341 4.4125
angles: 90.00 90.00 90.00
With the nearest neighbours (Å) after each atom.
Element x y z (fractional)
Ta: 0.0000 0.5000 0.0000  4 Ta 2.85, 4 Ir 2.99, 4 Te 2.99
Ta: 0.5000 0.0000 0.0000  4 Ta 2.85, 4 Ir 2.99, 4 Te 2.99
Te: 0.0000 0.0000 0.5000  4 Ir 2.85, 8 Ta 2.99
Ir: 0.5000 0.5000 0.5000  4 Te 2.85, 8 Ta 2.99

ΔE_f (raw) = 167 meV per atom
electronic total energy = -35.04 eV per formula unit

***

(10)
The following is a GGA-PBE calculation of a relaxed TaTeIr3 crystal, from Alexandria.

abc: 4.8176 4.8176 4.8176
angles: 90.00 90.00 90.00
With the nearest neighbours (Å) after each atom.
Element x y z (fractional)
Ta: 0.0000 0.0000 0.0000  6 Ir 2.41
Te: 0.5000 0.5000 0.5000  12 Ir 3.41
Ir: 0.0000 0.0000 0.5000  2 Ta 2.41
Ir: 0.0000 0.5000 0.0000  2 Ta 2.41
Ir: 0.5000 0.0000 0.0000  2 Ta 2.41

relative energy among the computed polymorphs = 0 meV per atom
ΔE_f (raw) = 1379 meV per atom
electronic total energy = -34.68 eV per formula unit

***

(11)
The following is a GGA-PBE calculation of a relaxed TaTe2Ir crystal, from Alexandria.

abc: 5.6034 5.6034 5.6034
angles: 137.29 137.29 61.99
With the nearest neighbours (Å) after each atom.
Element x y z (fractional)
Ta: 0.0000 0.0000 0.0000  8 Te 2.89-3.15, 4 Ir 3.15
Te: 0.2500 0.7500 0.5000  4 Ir 2.89, 4 Ta 3.15, 4 Te 3.15
Te: 0.5000 0.5000 0.0000  4 Ta 2.89, 4 Te 3.15, 4 Ir 3.15
Ir: 0.7500 0.2500 0.5000  8 Te 2.89-3.15, 4 Ta 3.15

relative energy among the computed polymorphs = 660 meV per atom
ΔE_f (raw) = 495 meV per atom
electronic total energy = -25.02 eV per formula unit

***

(12)
The following is a GGA-PBE calculation of a relaxed TaTeIr2 crystal, from Alexandria.

abc: 4.7916 4.7916 4.8074
angles: 101.81 101.81 41.82
With the nearest neighbours (Å) after each atom.
Element x y z (fractional)
Ta: 0.0000 0.0000 0.0000  6 Ir 2.73-2.79, 4 Te 2.95
Te: 0.5000 0.5000 0.5000  6 Ir 2.75-3.01, 4 Ta 2.95
Ir: 0.2659 0.2659 0.7866  3 Ta 2.73-2.79, 2 Ir 2.73, 3 Te 2.75-3.01
Ir: 0.7341 0.7341 0.2134  3 Ta 2.73-2.79, 2 Ir 2.73, 3 Te 2.75-3.01

ΔE_f (raw) = 79 meV per atom
electronic total energy = -32.40 eV per formula unit

***

Asked for DOS at the Fermi energy across the records above, the calculation gives 3.8; 2.8; 4.6; 3.6; 2.9; 2.7; 2.2; 2.8; 2.7; 3.9; 3.4; 2.4 states/eV per cell in order.